# PBE LaInMoSe2, relaxed
data_LaInMoSe2
_chemical_formula_sum 'La1 In1 Mo1 Se2'
_cell_length_a 5.697
_cell_length_b 5.697
_cell_length_c 6.225
_cell_angle_alpha 90.00
_cell_angle_beta 90.00
_cell_angle_gamma 90.00
_space_group_name_H-M_alt 'P 1'
_space_group_IT_number 1
loop_
_space_group_symop_operation_xyz
'x,y,z'
loop_
_atom_site_label
_atom_site_fract_x
_atom_site_fract_y
_atom_site_fract_z
La1 0.000 0.000 0.000
In1 0.000 0.000 0.500
Mo1 0.500 0.500 0.000
Se1 0.000 0.500 0.500
Se2 0.500 0.000 0.500
# **Crystal system**: tetragonal
# **Symmetry**: P4/mmm
# **Formation energy (no corrections)**: 1.0539 eV per atom